# 1
Below is crystalline Y3TmAg at its relaxed geometry, with properties calculated at the PBE level.

Properties
SG = C2/m
Energy relative to the elements = 0.0362 eV per atom
Final energy = -0.3900 Ry per atom

Unit cell a=7.1034 b=7.1034 c=7.7732 alpha=116.12 beta=116.12 gamma=73.46
Sites, in units of the cell vectors:
Y 0.0490 0.0490 0.3138
Y 0.1100 0.5170 0.2966
Y 0.4830 0.8900 0.7034
Y 0.5170 0.1100 0.2966
Y 0.8900 0.4830 0.7034
Y 0.9510 0.9510 0.6862
Tm 0.4215 0.4215 0.7277
Tm 0.5785 0.5785 0.2723
Ag 0.2714 0.2714 0.9392
Ag 0.7286 0.7286 0.0608

---

# 2
Below is crystalline YTm2Ag at its relaxed geometry, with properties calculated at the PBE level.

Properties
SG = Pnma
Energy relative to the elements = -0.1311 eV per atom
Final energy = -0.3451 Ry per atom

Unit cell a=6.8477 b=9.6513 c=6.7176 alpha=90.00 beta=90.00 gamma=90.00
Sites, in units of the cell vectors:
Y 0.0023 0.2500 0.1047
Y 0.4977 0.7500 0.6047
Y 0.5023 0.2500 0.3953
Y 0.9977 0.7500 0.8953
Tm 0.2049 0.0501 0.7036
Tm 0.2049 0.4499 0.7036
Tm 0.2951 0.5501 0.2036
Tm 0.2951 0.9499 0.2036
Tm 0.7049 0.0501 0.7964
Tm 0.7049 0.4499 0.7964
Tm 0.7951 0.5501 0.2964
Tm 0.7951 0.9499 0.2964
Ag 0.0671 0.7500 0.4669
Ag 0.4329 0.2500 0.9669
Ag 0.5671 0.7500 0.0331
Ag 0.9329 0.2500 0.5331

---

# 3
Below is crystalline Y5TmAg4 at its relaxed geometry, with properties calculated at the PBE level.

Properties
SG = P4/mmm
Energy relative to the elements = -0.2519 eV per atom
Final energy = -0.3728 Ry per atom

Unit cell a=3.6147 b=3.6147 c=19.6736 alpha=90.00 beta=90.00 gamma=90.00
Sites, in units of the cell vectors:
Y 0.0000 0.0000 0.0000
Y 0.0000 0.0000 0.1884
Y 0.0000 0.0000 0.3759
Y 0.0000 0.0000 0.6241
Y 0.0000 0.0000 0.8116
Tm 0.5000 0.5000 0.5000
Ag 0.5000 0.5000 0.0935
Ag 0.5000 0.5000 0.2820
Ag 0.5000 0.5000 0.7180
Ag 0.5000 0.5000 0.9065

---

# 4
Below is crystalline Y3TmAg4 at its relaxed geometry, with properties calculated at the PBE level.

Properties
SG = P4/mmm
Energy relative to the elements = -0.3312 eV per atom
Final energy = -0.3484 Ry per atom

Unit cell a=3.6289 b=3.6289 c=14.5498 alpha=90.00 beta=90.00 gamma=90.00
Sites, in units of the cell vectors:
Y 0.0000 0.0000 0.0000
Y 0.0000 0.0000 0.2523
Y 0.0000 0.0000 0.7477
Tm 0.0000 0.0000 0.5000
Ag 0.5000 0.5000 0.1253
Ag 0.5000 0.5000 0.3804
Ag 0.5000 0.5000 0.6196
Ag 0.5000 0.5000 0.8747

---

# 5
Below is crystalline Y3TmAg2 at its relaxed geometry, with properties calculated at the PBE level.

Properties
SG = Ibam
Energy relative to the elements = 0.0209 eV per atom
Final energy = -0.3606 Ry per atom

Unit cell a=8.6420 b=8.6420 c=8.6420 alpha=132.03 beta=72.48 gamma=129.15
Sites, in units of the cell vectors:
Y 0.0222 0.7500 0.2722
Y 0.2500 0.2500 0.0000
Y 0.4778 0.7500 0.7278
Y 0.5222 0.2500 0.2722
Y 0.7500 0.7500 0.0000
Y 0.9778 0.2500 0.7278
Tm 0.0000 0.5000 0.5000
Tm 0.5000 0.0000 0.5000
Ag 0.1409 0.2032 0.3441
Ag 0.3591 0.7032 0.0624
Ag 0.6409 0.2968 0.9376
Ag 0.8591 0.7968 0.6559

---

# 6
Below is crystalline Y2TmAg3 at its relaxed geometry, with properties calculated at the PBE level.

Properties
SG = P4/mmm
Energy relative to the elements = -0.3363 eV per atom
Final energy = -0.3426 Ry per atom

Unit cell a=3.6086 b=3.6086 c=10.9811 alpha=90.00 beta=90.00 gamma=90.00
Sites, in units of the cell vectors:
Y 0.0000 0.0000 0.1687
Y 0.0000 0.0000 0.8313
Tm 0.0000 0.0000 0.5000
Ag 0.5000 0.5000 0.0000
Ag 0.5000 0.5000 0.3394
Ag 0.5000 0.5000 0.6606